1.
Computed, not measured: Pm2Sm3DyS6 after structural relaxation at the PBE level of DFT.

Unit cell a=6.9361 b=6.9361 c=6.9225 alpha=99.58 beta=99.58 gamma=120.17
Positions (direct):
1 Pm 0.3330 0.6670 0.0000
2 Pm 0.6670 0.3330 0.0000
3 Sm 0.8300 0.1700 0.5000
4 Sm 0.1700 0.8300 0.5000
5 Sm 0.5000 0.5000 0.5000
6 S 0.5916 0.9177 0.7529
7 S 0.4084 0.0823 0.2471
8 S 0.0823 0.4084 0.2471
9 S 0.7573 0.7573 0.2499
10 S 0.9177 0.5916 0.7529
11 S 0.2427 0.2427 0.7501
12 Dy 0.0000 0.0000 0.0000

Properties
Total magnetic moment ... 0.0 μB per cell
Volume ... 22.6 Å³/atom
Raw formation energy ... -2.03 eV per atom

2.
Computed, not measured: Pm3SmDy2S6 after structural relaxation at the PBE level of DFT.

Unit cell a=6.9000 b=6.9000 c=6.9226 alpha=99.54 beta=99.54 gamma=120.17
Positions (direct):
1 S 0.0805 0.4198 0.2418
2 S 0.4198 0.0805 0.2418
3 S 0.9195 0.5802 0.7582
4 S 0.2595 0.2595 0.7604
5 S 0.7405 0.7405 0.2396
6 S 0.5802 0.9195 0.7582
7 Pm 0.1639 0.8361 0.5000
8 Pm 0.8361 0.1639 0.5000
9 Pm 0.5000 0.5000 0.5000
10 Sm 0.0000 0.0000 0.0000
11 Dy 0.6664 0.3336 0.0000
12 Dy 0.3336 0.6664 0.0000

Properties
Total magnetic moment ... 0.0 μB per cell
Volume ... 22.4 Å³/atom
Raw formation energy ... -2.02 eV per atom